The following is a PBE-GGA calculation of crystalline La2FeTc at its relaxed geometry, from Alexandria.

Structure (extended XYZ):
```
4
Lattice="1.987 1.147 7.953 -1.987 1.147 7.953 0.000 -2.295 7.953" Properties=species:S:1:pos:R:3 pbc="T T T"
La 0.000 0.000 0.000
La 0.000 0.000 4.247
Fe 0.000 0.000 17.723
Tc 0.000 0.000 10.311
```

Calculated values
**Total magnetization**: 0.00 Bohr magnetons per cell
**Space-group type**: R3m (160)
**Volume**: 27.206 A^3/atom
**DFT formation energy**: 1.5 kcal/mol of atoms
**D(E_F)**: 5.798 states/eV/f.u.